1.
K2TlB2, relaxed, DFT PBE-GGA; volume = 237 Å³/cell; symmetry = P4/mbm; formation energy from the elements = 0.806 eV/atom; excess energy over the best structure of this formula in the dataset = 0 meV per atom; Fermi-level density of states = 6.7 states/eV per cell
1.0
6.813 0.000 0.000
0.000 6.813 0.000
0.000 0.000 5.100
K Tl B
4 2 4
Cartesian
1.289 2.117 0.000
2.117 5.524 0.000
4.696 1.289 0.000
5.524 4.696 0.000
0.000 0.000 2.550
3.407 3.407 2.550
0.562 3.969 2.550
2.845 0.562 2.550
3.969 6.251 2.550
6.251 2.845 2.550

2.
KTlB2, relaxed, DFT PBE-GGA; volume = 172 Å³/cell; symmetry = I4_1/amd; formation energy from the elements = 1.329 eV/atom; excess energy over the best structure of this formula in the dataset = 0 meV per atom; Fermi-level density of states = 0.7 states/eV per cell
1.0
-2.292 2.292 8.165
2.292 -2.292 8.165
2.292 2.292 -8.165
K Tl B
2 2 4
Cartesian
2.292 1.146 2.041
0.000 1.146 6.124
2.292 -1.146 6.124
0.000 3.438 2.041
0.000 0.000 0.000
1.146 1.146 -4.082
1.146 -1.146 4.082
0.000 2.292 0.000

Number 1: total moment 1.419 μB/cell. Number 2: total moment 0.000 μB/cell.